LaAlRu3 after structural relaxation, computed with GGA-PBE.

formation energy from the elements = 0.33 eV/atom
E above lowest polymorph = 0.0 meV per atom

CIF file:
```
data_LaAlRu3
_chemical_formula_sum 'La1 Al1 Ru3'
_cell_length_a 4.5776
_cell_length_b 4.5776
_cell_length_c 4.5776
_cell_angle_alpha 90.00
_cell_angle_beta 90.00
_cell_angle_gamma 90.00
_space_group_name_H-M_alt 'P 1'
_space_group_IT_number 1
loop_
_space_group_symop_operation_xyz
'x,y,z'
loop_
_atom_site_label
_atom_site_fract_x
_atom_site_fract_y
_atom_site_fract_z
_atom_site_occupancy
La1 0.0000 0.0000 0.0000 1
Al1 0.5000 0.5000 0.5000 1
Ru1 0.0000 0.5000 0.5000 1
Ru2 0.5000 0.0000 0.5000 1
Ru3 0.5000 0.5000 0.0000 1
```